Entry 1:
TlRh2W: relaxed, PBE.

Cell: 4.971 4.971 4.848 Å, 80.08 80.08 34.12°
Fractional positions:
Tl  0.501  0.501  0.472
Rh  0.004  0.004  0.966
Rh  0.254  0.254  0.263
W  0.741  0.741  0.799

Calculated values
Offset from the most stable computed form = 0.248 eV per atom
Magnetic moment = 0.000 μB/atom
Formation energy from the elements = 0.234 eV/atom
Crystal system = monoclinic
N(E_F) = 2.89 states/eV/f.u.

=====

Entry 2:
Tm2CdHg4: relaxed, PBE.

Cell: 4.978 4.978 8.706 Å, 73.39 73.39 60.00°
Fractional positions:
Tm  0.747  0.747  0.759
Tm  0.253  0.253  0.241
Hg  0.870  0.870  0.390
Hg  0.130  0.130  0.610
Hg  0.618  0.618  0.146
Hg  0.382  0.382  0.854
Cd  0.000  0.000  0.000

Calculated values
Offset from the most stable computed form = 0.000 eV per atom
Magnetic moment = 0.000 μB/atom
Formation energy from the elements = -0.259 eV/atom
Crystal system = trigonal
N(E_F) = 4.12 states/eV/f.u.

=====

Entry 3:
Hg2H2Pb: relaxed, PBE.

Cell: 3.561 3.561 7.505 Å, 76.28 76.28 90.00°
Fractional positions:
Pb  0.000  0.000  0.000
H  0.750  0.250  0.500
H  0.250  0.750  0.500
Hg  0.343  0.343  0.314
Hg  0.657  0.657  0.686

Calculated values
Offset from the most stable computed form = 0.313 eV per atom
Magnetic moment = 0.000 μB/atom
Crystal system = tetragonal
N(E_F) = 1.14 states/eV/f.u.

=====

Entry 4:
LiSn5Se5: relaxed, PBE.

Cell: 5.958 7.224 8.071 Å, 107.03 90.00 114.35°
Fractional positions:
Li  0.000  0.000  0.000
Sn  0.658  0.316  0.341
Sn  0.657  0.314  0.815
Sn  0.000  0.000  0.500
Sn  0.343  0.686  0.185
Sn  0.342  0.684  0.659
Se  0.818  0.636  0.160
Se  0.843  0.687  0.685
Se  0.500  0.000  0.000
Se  0.157  0.313  0.315
Se  0.182  0.364  0.840

Calculated values
Magnetic moment = 0.000 μB/atom
Crystal system = monoclinic
N(E_F) = 3.81 states/eV/f.u.
Formation energy from raw total energies = -0.430 eV/atom

=====

Entry 5:
TcIrW2: relaxed, PBE.

Cell: 2.751 2.751 8.148 Å, 90.00 90.00 90.04°
Fractional positions:
Ir  0.000  0.000  0.504
Tc  0.500  0.500  0.741
W  0.000  0.000  0.994
W  0.500  0.500  0.261

Calculated values
Offset from the most stable computed form = 0.112 eV per atom
Magnetic moment = 0.000 μB/atom
Formation energy from the elements = 0.043 eV/atom
Crystal system = tetragonal
N(E_F) = 3.73 states/eV/f.u.

=====

Entry 6:
Nb2B2Ru5W: relaxed, PBE.

Cell: 2.949 9.538 9.538 Å, 90.00 90.00 90.00°
Fractional positions:
Nb  0.000  0.677  0.177
Nb  0.000  0.323  0.823
Nb  0.000  0.177  0.323
Nb  0.000  0.823  0.677
B  0.000  0.120  0.620
B  0.000  0.880  0.380
B  0.000  0.620  0.880
B  0.000  0.380  0.120
Ru  0.500  0.220  0.070
Ru  0.500  0.780  0.930
Ru  0.500  0.070  0.780
Ru  0.500  0.720  0.430
Ru  0.500  0.930  0.220
Ru  0.500  0.280  0.570
Ru  0.500  0.570  0.720
Ru  0.500  0.430  0.280
Ru  0.500  0.500  0.000
Ru  0.500  0.000  0.500
W  0.000  0.000  0.000
W  0.000  0.500  0.500

Calculated values
Magnetic moment = 0.000 μB/atom
Formation energy from the elements = -0.388 eV/atom
Crystal system = tetragonal
N(E_F) = 2.92 states/eV/f.u.

=====

Entry 7:
NaAg2SbF8: relaxed, PBE.

Cell: 5.125 5.669 7.321 Å, 89.98 90.01 93.63°
Fractional positions:
Na  0.000  0.000  0.500
Ag  0.500  0.500  0.728
Ag  0.500  0.500  0.272
Sb  0.000  0.000  0.000
F  0.190  0.848  0.190
F  0.742  0.734  0.000
F  0.810  0.151  0.189
F  0.810  0.152  0.810
F  0.258  0.266  0.000
F  0.190  0.849  0.811
F  0.709  0.713  0.500
F  0.291  0.287  0.500

Calculated values
Magnetic moment = 0.000 μB/atom
Crystal system = monoclinic
Formation energy from raw total energies = -1.938 eV/atom

=====

Entry 8:
InCo3As: relaxed, PBE.

Cell: 4.331 4.331 4.331 Å, 90.00 90.00 90.00°
Site moments in Bohr magnetons follow the coordinates.
Fractional positions:
As  0.000  0.000  0.000  -0.01
Co  0.000  0.500  0.000  0.97
Co  0.000  0.000  0.500  0.91
Co  0.500  0.000  0.000  1.12
In  0.500  0.500  0.500  -0.03

Calculated values
Offset from the most stable computed form = 0.000 eV per atom
Magnetic moment = 0.576 μB/atom
Formation energy from the elements = 0.450 eV/atom
Crystal system = cubic
N(E_F) = 3.02 states/eV/f.u.

=====

Entry 9:
YCdTeI2: relaxed, PBE.

Cell: 5.958 5.958 6.069 Å, 90.00 90.00 90.00°
Fractional positions:
I  0.000  0.500  0.000
I  0.500  0.000  0.000
Y  0.000  0.000  0.000
Te  0.000  0.000  0.500
Cd  0.500  0.500  0.500

Calculated values
Offset from the most stable computed form = 0.000 eV per atom
Magnetic moment = 0.000 μB/atom
Crystal system = tetragonal
N(E_F) = 3.65 states/eV/f.u.
Formation energy from raw total energies = -0.634 eV/atom

=====

Entry 10:
Cr2Pt: relaxed, PBE.

Cell: 2.944 5.012 2.944 Å, 72.92 90.00 107.08°
Fractional positions:
Cr  0.309  0.618  0.691
Cr  0.691  0.382  0.309
Pt  0.000  0.000  0.000

Calculated values
Magnetic moment = 0.000 μB/atom
Formation energy from the elements = 0.052 eV/atom
Crystal system = tetragonal
N(E_F) = 4.04 states/eV/f.u.

=====

Entry 11:
YPW2: relaxed, PBE.

Cell: 4.791 4.791 4.791 Å, 125.76 125.76 80.29°
Fractional positions:
Y  0.500  0.500  0.000
P  0.750  0.250  0.500
W  0.000  0.000  0.000
W  0.250  0.750  0.500

Calculated values
Magnetic moment = 0.000 μB/atom
Formation energy from the elements = 0.358 eV/atom
Crystal system = tetragonal
N(E_F) = 1.88 states/eV/f.u.

=====

Entry 12:
NaPr4Nd3Se8: relaxed, PBE.

Cell: 8.496 8.499 8.496 Å, 119.99 120.00 90.00°
Fractional positions:
Na  0.000  0.500  0.000
Pr  0.500  0.000  0.000
Pr  0.500  0.000  0.500
Pr  0.000  0.000  0.000
Pr  0.000  0.000  0.500
Nd  0.500  0.500  0.000
Nd  0.500  0.500  0.500
Nd  0.000  0.500  0.500
Se  0.247  0.745  0.998
Se  0.247  0.745  0.494
Se  0.251  0.253  0.502
Se  0.751  0.745  0.998
Se  0.249  0.255  0.002
Se  0.749  0.747  0.498
Se  0.753  0.255  0.506
Se  0.753  0.255  0.002

Calculated values
Magnetic moment = 0.000 μB/atom
Crystal system = trigonal
N(E_F) = 8.57 states/eV/f.u.
Formation energy from raw total energies = -1.802 eV/atom